(1)
VASP calculation (GGA-PBE) on CoTe2 after structural relaxation.

abc: 3.784 3.784 5.508
angles: 90.00 90.00 120.00
Sites, in units of the cell vectors:
Te: 0.333 0.667 0.240
Te: 0.667 0.333 0.760
Co: 0.000 0.000 0.000

Results
Energy, Ry per atom: -0.3426
SG: P-3m1

---

(2)
VASP calculation (GGA-PBE) on CoTe after structural relaxation.

abc: 3.734 3.734 5.993
angles: 90.00 90.00 90.00
Sites, in units of the cell vectors:
Te: 0.000 0.500 0.272
Co: 0.500 0.500 0.000
Co: 0.000 0.000 0.000
Te: 0.500 0.000 0.728

Results
Energy, Ry per atom: -0.3836
SG: P4/nmm

---

(3)
VASP calculation (GGA-PBE) on Co15Te after structural relaxation.

abc: 6.856 2.569 33.482
angles: 90.00 90.01 90.00
Each line ends with the local moment (μB).
Sites, in units of the cell vectors:
Co: 0.375 0.500 0.555  1.65
Co: 0.875 0.500 0.555  1.65
Co: 0.125 0.000 0.445  1.65
Co: 0.129 0.000 0.741  1.40
Co: 0.625 0.000 0.225  1.88
Co: 0.374 0.500 0.408  1.67
Co: 0.621 0.000 0.741  1.40
Co: 0.125 0.000 0.666  1.66
Co: 0.871 0.500 0.259  1.40
Co: 0.625 0.000 0.666  1.65
Co: 0.125 0.000 0.370  1.64
Co: 0.375 0.500 0.629  1.65
Co: 0.375 0.500 0.334  1.66
Co: 0.124 0.000 0.592  1.66
Co: 0.875 0.500 0.630  1.63
Co: 0.125 0.000 0.298  1.65
Co: 0.379 0.500 0.259  1.40
Co: 0.375 0.500 0.481  1.66
Co: 0.375 0.500 0.775  1.88
Co: 0.625 0.000 0.296  1.68
Co: 0.625 0.000 0.371  1.66
Co: 0.626 0.000 0.592  1.66
Co: 0.625 0.000 0.519  1.66
Co: 0.125 0.000 0.518  1.66
Co: 0.625 0.000 0.445  1.65
Co: 0.875 0.500 0.482  1.65
Co: 0.876 0.500 0.408  1.67
Co: 0.875 0.500 0.334  1.66
Co: 0.375 0.500 0.704  1.68
Te: 0.125 0.000 0.212  0.01
Co: 0.875 0.500 0.702  1.65
Te: 0.875 0.500 0.788  0.01

Results
SG: P2_1/m
Relative energy among the computed polymorphs, meV per atom: 105

---

(4)
VASP calculation (GGA-PBE) on Co5Te4 after structural relaxation.

abc: 6.764 6.764 6.764
angles: 94.42 94.42 147.78
Each line ends with the local moment (μB).
Sites, in units of the cell vectors:
Co: 0.425 0.317 0.743  0.12
Te: 0.737 0.908 0.645  0.00
Co: 0.317 0.575 0.892  0.11
Co: 0.575 0.683 0.257  0.12
Co: 0.000 0.000 0.000  0.27
Te: 0.092 0.737 0.829  0.00
Co: 0.683 0.425 0.108  0.11
Te: 0.908 0.263 0.171  0.00
Te: 0.263 0.092 0.355  0.00

Results
Energy, Ry per atom: -0.3937
SG: I4/m

---

V across the listed records, respectively: 68; 42; 295; 159 Å³/f.u..